Record 1
The following is a DFT calculation (PBE) of a relaxed ScCF3 crystal.

It has space group Pm-3m (No. 221), with a = 4.113 Å, b = 4.113 Å, c = 4.113 Å, α = 90.00°, β = 90.00° and γ = 90.00°. Symmetry generates all atoms from Sc at (0.000, 0.000, 0.000), C at (0.500, 0.500, 0.500) and F at (0.000, 0.000, 0.500).

The value obtained for the uncorrected formation energy is -1.566 eV/atom. The raw total energy is -5.8003 eV/atom.

Record 2
The following is a DFT calculation (PBE) of a relaxed Sc3CF crystal.

It has space group Pm-3m (No. 221), with a = 4.510 Å, b = 4.510 Å, c = 4.510 Å, α = 90.00°, β = 90.00° and γ = 90.00°. Symmetry generates all atoms from Sc at (0.000, 0.000, 0.500), C at (0.000, 0.000, 0.000) and F at (0.500, 0.500, 0.500).

The value obtained for the uncorrected formation energy is -0.527 eV/atom. The raw total energy is -6.5447 eV/atom.

Record 3
The following is a DFT calculation (PBE) of a relaxed ScC2F crystal.

It has space group I4_1/amd (No. 141, origin choice 2), with a = 2.877 Å, b = 2.877 Å, c = 19.641 Å, α = 90.00°, β = 90.00° and γ = 90.00°. Symmetry generates all atoms from Sc at (0.000, 0.250, 0.375), C at (0.000, 0.000, 0.000) and F at (0.000, 0.250, 0.875).

The value obtained for the uncorrected formation energy is -0.209 eV/atom. The raw total energy is -6.8721 eV/atom.

Record 4
The following is a DFT calculation (PBE) of a relaxed ScCF3 crystal.

It has space group Pm-3m (No. 221), with a = 3.948 Å, b = 3.948 Å, c = 3.948 Å, α = 90.00°, β = 90.00° and γ = 90.00°. Symmetry generates all atoms from Sc at (0.000, 0.000, 0.000), C at (0.500, 0.500, 0.500) and F at (0.000, 0.500, 0.500).

The value obtained for the uncorrected formation energy is -0.454 eV/atom. The raw total energy is -4.6882 eV/atom.

Record 5
The following is a DFT calculation (PBE) of a relaxed ScC2F crystal.

It has space group Fm-3m (No. 225), with a = 5.573 Å, b = 5.573 Å, c = 5.573 Å, α = 90.00°, β = 90.00° and γ = 90.00°. Symmetry generates all atoms from Sc at (0.000, 0.000, 0.000), C at (0.250, 0.250, 0.250) and F at (0.000, 0.000, 0.500).

The value obtained for the uncorrected formation energy is 1.280 eV/atom. The raw total energy is -5.3824 eV/atom.

Record 6
The following is a DFT calculation (PBE) of a relaxed ScC3F crystal.

It has space group Pm-3m (No. 221), with a = 3.749 Å, b = 3.749 Å, c = 3.749 Å, α = 90.00°, β = 90.00° and γ = 90.00°. Symmetry generates all atoms from Sc at (0.000, 0.000, 0.000), C at (0.000, 0.500, 0.500) and F at (0.500, 0.500, 0.500).

The value obtained for the uncorrected formation energy is 2.154 eV/atom. The raw total energy is -5.0211 eV/atom.

Record 7
The following is a DFT calculation (PBE) of a relaxed ScC3F crystal.

It has space group Pm-3m (No. 221), with a = 4.366 Å, b = 4.366 Å, c = 4.366 Å, α = 90.00°, β = 90.00° and γ = 90.00°. Symmetry generates all atoms from Sc at (0.000, 0.000, 0.000), C at (0.000, 0.000, 0.500) and F at (0.500, 0.500, 0.500).

The value obtained for the uncorrected formation energy is 2.654 eV/atom. The raw total energy is -4.5212 eV/atom.

Record 8
The following is a DFT calculation (PBE) of a relaxed Sc2CSeF crystal.

It has space group P4/mmm (No. 123), with a = 4.592 Å, b = 4.592 Å, c = 3.596 Å, α = 90.00°, β = 90.00° and γ = 90.00°. Symmetry generates all atoms from Sc at (0.000, 0.500, 0.000), C at (0.000, 0.000, 0.500), Se at (0.500, 0.500, 0.500) and F at (0.000, 0.000, 0.000).

The value obtained for the uncorrected formation energy is -0.256 eV/atom. The raw total energy is -5.7045 eV/atom.

Record 9
The following is a DFT calculation (PBE) of a relaxed ZrSc2CF crystal.

It has space group P4/mmm (No. 123), with a = 5.323 Å, b = 5.323 Å, c = 4.162 Å, α = 90.00°, β = 90.00° and γ = 90.00°. Symmetry generates all atoms from Zr at (0.000, 0.000, 0.000), Sc at (0.000, 0.500, 0.000), C at (0.000, 0.000, 0.500) and F at (0.500, 0.500, 0.500).

The value obtained for the uncorrected formation energy is 0.622 eV/atom. The raw total energy is -5.8392 eV/atom.

Record 10
The following is a DFT calculation (PBE) of a relaxed ZrScC2F crystal.

It has space group P4/mmm (No. 123), with a = 4.012 Å, b = 4.012 Å, c = 5.365 Å, α = 90.00°, β = 90.00° and γ = 90.00°. Symmetry generates all atoms from Zr at (0.000, 0.000, 0.000), Sc at (0.000, 0.000, 0.500), C at (0.000, 0.500, 0.500) and F at (0.500, 0.500, 0.000).

The value obtained for the uncorrected formation energy is 1.350 eV/atom. The raw total energy is -5.6898 eV/atom.

Record 11
The following is a DFT calculation (PBE) of a relaxed CSe3F crystal.

It has space group Pm-3m (No. 221), with a = 4.372 Å, b = 4.372 Å, c = 4.372 Å, α = 90.00°, β = 90.00° and γ = 90.00°. Symmetry generates all atoms from C at (0.000, 0.000, 0.000), Se at (0.000, 0.000, 0.500) and F at (0.500, 0.500, 0.500).

The value obtained for the uncorrected formation energy is 0.936 eV/atom. The raw total energy is -3.3740 eV/atom.

Record 12
The following is a DFT calculation (PBE) of a relaxed CSeF2 crystal.

It has space group Fm-3m (No. 225), with a = 5.725 Å, b = 5.725 Å, c = 5.725 Å, α = 90.00°, β = 90.00° and γ = 90.00°. Symmetry generates all atoms from C at (0.000, 0.000, 0.000), Se at (0.000, 0.000, 0.500) and F at (0.250, 0.250, 0.250).

The value obtained for the uncorrected formation energy is 1.265 eV/atom. The raw total energy is -2.8482 eV/atom.